A plane-wave DFT calculation with GGA-PBE was carried out for crystalline TlZnTc2 at its relaxed geometry.

```
TlZnTc2
1.0
-1.380 -2.075 1.580
3.310 -0.550 2.170
-1.803 4.079 3.784
Tc Tl Zn
2 1 1
Direct
0.000 0.000 0.946 Tc
0.000 0.000 0.554 Tc
0.500 0.500 0.250 Tl
0.500 0.500 0.750 Zn
```

Values from the calculation:
The relative energy among the computed polymorphs comes out at 0.320 eV/atom. The value obtained for the formation enthalpy at 0 K is 0.540 eV per atom. Its density is 11.22 g/cm3.